Computed, not measured: Ac3MnB4O12 after structural relaxation at the GGA+U level of DFT.

Cell lengths 10.5107, 10.5107, 9.2432 Å; angles 90.00, 90.00, 120.00 degrees
Space group R32 (No. 155, hexagonal axes)
Unique sites:
Ac  0.0000  0.5087  0.0000
Mn  0.0000  0.0000  0.0000
B  0.0000  0.0000  0.5000
B  0.0000  0.4889  0.5000
O  0.0000  0.6193  0.5000
O  0.0000  0.8694  0.5000
O  0.0252  0.1998  0.8462

DOS(E_F), states/eV per atom: 0.339
E, eV per atom: -7.958
Calculated density, Mg/m³: 5.47